No. 1
# Ba2CoSbRu

A relaxed structure of Ba2CoSbRu (GGA-PBE, Alexandria).

Computed properties:
**Density**: 5072 kg/m³
**Raw formation energy**: 0.39 eV per atom
**Calculated total energy**: -4.476 eV per atom
**Calculated volume**: 36.432 Å³ per atom

Cell lengths 6.0379, 6.0379, 4.9967 Å; angles 90.00, 90.00, 90.00 degrees
With the nearest neighbours (Å) after each atom.
Space group P4/mmm (No. 123)
Asymmetric unit:
Ba 0.0000 0.5000 0.0000  2 Ru 3.02
Co 0.0000 0.0000 0.5000  8 Ba 3.92, 4 Sb 4.27
Sb 0.5000 0.5000 0.5000  2 Ru 2.50
Ru 0.5000 0.5000 0.0000  2 Sb 2.50

***

No. 2
# BaCoSi2Ru

A relaxed structure of BaCoSi2Ru (GGA-PBE, Alexandria).

Computed properties:
**Density**: 5508 kg/m³
**Raw formation energy**: 0.07 eV per atom
**Calculated total energy**: -5.762 eV per atom
**Calculated volume**: 21.313 Å³ per atom

Cell lengths 4.6045, 4.6045, 5.0262 Å; angles 90.00, 90.00, 90.00 degrees
With the nearest neighbours (Å) after each atom.
Space group P4/mmm (No. 123)
Asymmetric unit:
Ba 0.0000 0.0000 0.0000  4 Co 3.26, 8 Si 3.41
Co 0.5000 0.5000 0.0000  2 Ru 2.51
Si 0.0000 0.5000 0.5000  2 Ru 2.30
Ru 0.5000 0.5000 0.5000  4 Si 2.30, 2 Co 2.51

***

No. 3
# Ba2CoS3

A relaxed structure of Ba2CoS3 (GGA-PBE, Alexandria).

Computed properties:
**Density**: 4483 kg/m³
**Raw formation energy**: -1.43 eV per atom
**Calculated total energy**: -5.316 eV per atom
**Calculated volume**: 26.530 Å³ per atom

Cell lengths 12.1576, 4.2127, 12.4318 Å; angles 90.00, 90.00, 90.00 degrees
With the nearest neighbours (Å) after each atom.
Space group Pnma (No. 62)
Asymmetric unit:
Ba 0.0111 0.2500 0.1741  7 S 3.16-3.24
Ba 0.1731 0.2500 0.5225  7 S 3.21-3.30, 2 Co 3.56
Co 0.2445 0.7500 0.3029  4 S 2.27-2.37
S 0.0646 0.7500 0.3597  1 Co 2.30
S 0.1392 0.2500 0.9460  1 Co 2.27
S 0.2284 0.7500 0.7198  2 Co 2.37

***

No. 4
# BaCoS3

A relaxed structure of BaCoS3 (GGA-PBE, Alexandria).

Computed properties:
**Density**: 4727 kg/m³
**Raw formation energy**: -0.73 eV per atom
**Calculated total energy**: -5.015 eV per atom
**Calculated volume**: 20.547 Å³ per atom

Cell lengths 4.6835, 4.6835, 4.6835 Å; angles 90.00, 90.00, 90.00 degrees
With the nearest neighbours (Å) after each atom.
Space group Pm-3m (No. 221)
Asymmetric unit:
Ba 0.0000 0.0000 0.0000  12 S 3.31
Co 0.5000 0.5000 0.5000  6 S 2.34
S 0.0000 0.5000 0.5000  2 Co 2.34

***

No. 5
# BaCoS3

A relaxed structure of BaCoS3 (GGA-PBE, Alexandria).

Computed properties:
**Density**: 2489 kg/m³
**Raw formation energy**: 1.06 eV per atom
**Calculated total energy**: -3.225 eV per atom
**Calculated volume**: 39.016 Å³ per atom

Cell lengths 5.7997, 5.7997, 5.7997 Å; angles 90.00, 90.00, 90.00 degrees
With the nearest neighbours (Å) after each atom.
Space group Pm-3m (No. 221)
Asymmetric unit:
Ba 0.0000 0.0000 0.0000  6 S 2.90
Co 0.5000 0.5000 0.5000  12 S 4.10
S 0.0000 0.0000 0.5000  2 Ba 2.90

***

No. 6
# Ba2CoS

A relaxed structure of Ba2CoS (GGA-PBE, Alexandria).

Computed properties:
**Density**: 4194 kg/m³
**Raw formation energy**: -0.32 eV per atom
**Calculated total energy**: -4.087 eV per atom
**Calculated volume**: 36.196 Å³ per atom

Cell lengths 8.1304, 8.1304, 8.7610 Å; angles 90.00, 90.00, 90.00 degrees
With the nearest neighbours (Å) after each atom.
Space group I-42d (No. 122)
Asymmetric unit:
Ba 0.2447 0.7500 0.1250  2 S 3.05, 2 Co 3.10
Co 0.0000 0.0000 0.5000  4 Ba 3.10
S 0.0000 0.0000 0.0000  4 Ba 3.05

***

No. 7
# BaCoSb2S

A relaxed structure of BaCoSb2S (GGA-PBE, Alexandria).

Computed properties:
**Density**: 5620 kg/m³
**Raw formation energy**: -0.06 eV per atom
**Calculated total energy**: -4.336 eV per atom
**Calculated volume**: 27.885 Å³ per atom

Cell lengths 5.7981, 5.7981, 4.1473 Å; angles 90.00, 90.00, 90.00 degrees
With the nearest neighbours (Å) after each atom.
Space group P4/mmm (No. 123)
Asymmetric unit:
Ba 0.0000 0.0000 0.0000  8 Sb 3.56
Co 0.5000 0.5000 0.0000  2 S 2.07
Sb 0.0000 0.5000 0.5000  2 S 2.90
S 0.5000 0.5000 0.5000  2 Co 2.07

***

No. 8
# Ba2UCoS6

A relaxed structure of Ba2UCoS6 (GGA-PBE, Alexandria).

Computed properties:
**Density**: 5501 kg/m³
**Raw formation energy**: -1.36 eV per atom
**Calculated total energy**: -6.060 eV per atom
**Calculated volume**: 23.061 Å³ per atom

Cell lengths 9.7345, 9.7345, 9.7345 Å; angles 90.00, 90.00, 90.00 degrees
With the nearest neighbours (Å) after each atom.
Space group Fm-3m (No. 225)
Asymmetric unit:
Ba 0.2500 0.2500 0.2500  12 S 3.44
U 0.0000 0.0000 0.0000  6 S 2.55
Co 0.0000 0.0000 0.5000  6 S 2.32
S 0.0000 0.0000 0.2619  1 Co 2.32, 1 U 2.55

***

No. 9
# BaUCoS4

A relaxed structure of BaUCoS4 (GGA-PBE, Alexandria).

Computed properties:
**Density**: 6045 kg/m³
**Raw formation energy**: -1.28 eV per atom
**Calculated total energy**: -6.539 eV per atom
**Calculated volume**: 22.076 Å³ per atom

Cell lengths 6.4924, 5.8251, 8.5183 Å; angles 90.00, 106.39, 90.00 degrees
With the nearest neighbours (Å) after each atom.
Space group P2_1/m (No. 11)
Asymmetric unit:
Ba 0.2438 0.2500 0.4418  8 S 3.11-3.30
U 0.2425 0.2500 0.9458  6 S 2.66-2.84
Co 0.2690 0.7500 0.1589  4 S 2.15-2.26
S 0.0684 0.7500 0.3364  1 Co 2.26
S 0.0705 0.7500 0.9095  1 Co 2.15
S 0.4822 0.5096 0.7869  1 Co 2.17

***

No. 10
# BaU2CoS8

A relaxed structure of BaU2CoS8 (GGA-PBE, Alexandria).

Computed properties:
**Density**: 4841 kg/m³
**Raw formation energy**: -0.98 eV per atom
**Calculated total energy**: -6.362 eV per atom
**Calculated volume**: 26.550 Å³ per atom

Cell lengths 6.2573, 8.2173, 6.2658 Å; angles 90.00, 98.54, 90.00 degrees
With the nearest neighbours (Å) after each atom.
Space group P2/m (No. 10)
Asymmetric unit:
Ba 0.0000 0.0000 0.0000  6 S 3.05-3.18
U 0.5000 0.2603 0.5000  6 S 2.51-2.65
Co 0.0000 0.5000 0.0000  4 S 2.22
S 0.1983 0.3151 0.1982  1 Co 2.22
S 0.3254 0.5000 0.6743  2 U 2.57
S 0.3341 0.0000 0.6641  2 U 2.65

***

No. 11
# BaU2CoS5

A relaxed structure of BaU2CoS5 (GGA-PBE, Alexandria).

Computed properties:
**Density**: 7378 kg/m³
**Raw formation energy**: -1.40 eV per atom
**Calculated total energy**: -7.209 eV per atom
**Calculated volume**: 20.822 Å³ per atom

Cell lengths 7.5455, 7.5455, 13.1661 Å; angles 90.00, 90.00, 90.00 degrees
With the nearest neighbours (Å) after each atom.
Space group I4/mcm (No. 140)
Asymmetric unit:
Ba 0.0000 0.0000 0.2500  10 S 3.27-3.29
U 0.1576 0.3424 0.0000  8 S 2.70-2.89
Co 0.0000 0.5000 0.2500  4 S 2.22
S 0.0000 0.0000 0.0000  4 U 2.84
S 0.1483 0.3517 0.3683  1 Co 2.22

***

No. 12
# BaUCoS5

A relaxed structure of BaUCoS5 (GGA-PBE, Alexandria).

Computed properties:
**Density**: 4529 kg/m³
**Raw formation energy**: -1.09 eV per atom
**Calculated total energy**: -6.213 eV per atom
**Calculated volume**: 27.253 Å³ per atom

Cell lengths 8.6624, 11.3879, 9.6660 Å; angles 90.00, 113.85, 90.00 degrees
With the nearest neighbours (Å) after each atom.
Space group C2/c (No. 15)
Asymmetric unit:
Ba 0.0000 0.1581 0.2500  5 S 3.08-3.24
U 0.0000 0.5000 0.0000  6 S 2.54-2.59
Co 0.0000 0.1883 0.7500  4 S 2.23-2.25
S 0.0000 0.4283 0.2500  2 U 2.55
S 0.0976 0.2913 0.6038  1 Co 2.25
S 0.1973 0.0712 0.9116  1 Co 2.23

***

No. 13
# Ba2UCoS5

A relaxed structure of Ba2UCoS5 (GGA-PBE, Alexandria).

Computed properties:
**Density**: 5187 kg/m³
**Raw formation energy**: -1.49 eV per atom
**Calculated total energy**: -6.251 eV per atom
**Calculated volume**: 26.034 Å³ per atom

Cell lengths 4.0848, 17.6454, 13.0030 Å; angles 90.00, 90.00, 90.00 degrees
With the nearest neighbours (Å) after each atom.
Space group Cmc2_1 (No. 36)
Asymmetric unit:
Ba 0.0000 0.1185 0.0000  7 S 3.09-3.44
Ba 0.0000 0.1196 0.6418  7 S 3.08-3.40
U 0.0000 0.1904 0.3267  6 S 2.60-2.72
Co 0.0000 0.4339 0.7407  4 S 2.25-2.34
S 0.0000 0.0430 0.3220  2 Co 2.34, 1 U 2.60
S 0.0000 0.3048 0.9651  2 U 2.72
S 0.0000 0.3091 0.6886  1 Co 2.30
S 0.0000 0.3384 0.3213  1 U 2.61
S 0.0000 0.4953 0.5888  1 Co 2.25

***

No. 14
# BaUCo2S4

A relaxed structure of BaUCo2S4 (GGA-PBE, Alexandria).

Computed properties:
**Density**: 6128 kg/m³
**Raw formation energy**: -0.82 eV per atom
**Calculated total energy**: -6.308 eV per atom
**Calculated volume**: 21.050 Å³ per atom

Cell lengths 6.2456, 6.2456, 8.6343 Å; angles 90.00, 90.00, 90.00 degrees
With the nearest neighbours (Å) after each atom.
Space group I-42m (No. 121)
Asymmetric unit:
Ba 0.0000 0.0000 0.0000  8 S 3.09-3.16
U 0.0000 0.0000 0.5000  4 S 2.61
Co 0.0000 0.5000 0.2500  4 S 2.26
S 0.2150 0.2150 0.7069  2 Co 2.26

***

No. 15
# BaUCoS3

A relaxed structure of BaUCoS3 (GGA-PBE, Alexandria).

Computed properties:
**Density**: 6583 kg/m³
**Raw formation energy**: -1.41 eV per atom
**Calculated total energy**: -6.864 eV per atom
**Calculated volume**: 22.302 Å³ per atom

Cell lengths 3.8765, 13.7195, 10.0644 Å; angles 90.00, 90.00, 90.00 degrees
With the nearest neighbours (Å) after each atom.
Space group Cmcm (No. 63)
Asymmetric unit:
Ba 0.0000 0.2392 0.2500  6 S 3.14-3.20
U 0.0000 0.5000 0.0000  6 S 2.64-2.73
Co 0.0000 0.0276 0.7500  4 S 2.28-2.30
S 0.0000 0.1301 0.5698  1 Co 2.30
S 0.0000 0.4407 0.7500  2 Co 2.28

***

No. 16
# BaV2CoS8

A relaxed structure of BaV2CoS8 (GGA-PBE, Alexandria).

Computed properties:
**Density**: 3520 kg/m³
**Raw formation energy**: -0.67 eV per atom
**Calculated total energy**: -5.699 eV per atom
**Calculated volume**: 21.805 Å³ per atom

Cell lengths 5.9677, 5.9677, 25.4518 Å; angles 90.00, 90.00, 120.00 degrees
With the nearest neighbours (Å) after each atom.
Space group R-3 (No. 148, hexagonal axes)
Asymmetric unit:
Ba 0.0000 0.0000 0.0000  12 S 3.45-3.56
V 0.0000 0.0000 0.2409  4 S 2.13-2.18
Co 0.0000 0.0000 0.5000  6 S 2.27
S 0.0000 0.0000 0.3247  1 V 2.13
S 0.0077 0.3122 0.5521  1 V 2.18, 1 Co 2.27

***

No. 17
# BaCoW2S8

A relaxed structure of BaCoW2S8 (GGA-PBE, Alexandria).

Computed properties:
**Density**: 4876 kg/m³
**Raw formation energy**: -0.62 eV per atom
**Calculated total energy**: -6.286 eV per atom
**Calculated volume**: 23.286 Å³ per atom

Cell lengths 6.0437, 6.0437, 26.5005 Å; angles 90.00, 90.00, 120.00 degrees
With the nearest neighbours (Å) after each atom.
Space group R-3 (No. 148, hexagonal axes)
Asymmetric unit:
Ba 0.0000 0.0000 0.0000  12 S 3.49-3.67
Co 0.0000 0.0000 0.5000  6 S 2.33
W 0.0000 0.0000 0.2440  4 S 2.21
S 0.0000 0.0000 0.3276  1 W 2.21
S 0.0055 0.6911 0.5518  1 W 2.21, 1 Co 2.33

***

No. 18
# BaCoSb2

A relaxed structure of BaCoSb2 (GGA-PBE, Alexandria).

Computed properties:
**Density**: 6688 kg/m³
**Raw formation energy**: 0.20 eV per atom
**Calculated total energy**: -4.119 eV per atom
**Calculated volume**: 27.296 Å³ per atom

Cell lengths 7.5870, 7.5870, 7.5870 Å; angles 90.00, 90.00, 90.00 degrees
With the nearest neighbours (Å) after each atom.
Space group Fm-3m (No. 225)
Asymmetric unit:
Ba 0.0000 0.0000 0.0000  8 Sb 3.29
Co 0.0000 0.0000 0.5000  8 Sb 3.29
Sb 0.2500 0.2500 0.2500  4 Ba 3.29, 4 Co 3.29

***

No. 19
# BaCoSb2

A relaxed structure of BaCoSb2 (GGA-PBE, Alexandria).

Computed properties:
**Density**: 6862 kg/m³
**Raw formation energy**: -0.06 eV per atom
**Calculated total energy**: -4.381 eV per atom
**Calculated volume**: 26.607 Å³ per atom

Cell lengths 4.4014, 5.9898, 8.0741 Å; angles 90.00, 90.00, 90.00 degrees
With the nearest neighbours (Å) after each atom.
Space group Cmmm (No. 65)
Asymmetric unit:
Ba 0.0000 0.0000 0.0000  4 Sb 3.39, 4 Ba 3.72
Co 0.0000 0.0000 0.5000  4 Sb 2.64
Sb 0.0000 0.5000 0.3200  2 Co 2.64, 1 Sb 2.91

***

No. 20
# BaCoSb3

A relaxed structure of BaCoSb3 (GGA-PBE, Alexandria).

Computed properties:
**Density**: 6628 kg/m³
**Excess energy over the best structure of this formula in the dataset**: 0 meV per atom
**Raw formation energy**: -0.17 eV per atom
**Calculated total energy**: -4.447 eV per atom
**Calculated volume**: 28.138 Å³ per atom

Cell lengths 5.2010, 5.2010, 5.2010 Å; angles 90.00, 90.00, 90.00 degrees
With the nearest neighbours (Å) after each atom.
Space group Pm-3m (No. 221)
Asymmetric unit:
Ba 0.0000 0.0000 0.0000  12 Sb 3.68
Co 0.5000 0.5000 0.5000  6 Sb 2.60
Sb 0.0000 0.5000 0.5000  2 Co 2.60

***

No. 21
# BaCoSb

A relaxed structure of BaCoSb (GGA-PBE, Alexandria).

Computed properties:
**Density**: 6941 kg/m³
**Raw formation energy**: -0.01 eV per atom
**Calculated total energy**: -4.397 eV per atom
**Calculated volume**: 25.360 Å³ per atom

Cell lengths 3.5250, 3.5250, 12.2457 Å; angles 90.00, 90.00, 90.00 degrees
With the nearest neighbours (Å) after each atom.
Space group I4mm (No. 107)
Asymmetric unit:
Ba 0.0000 0.0000 0.0000  5 Sb 3.39-3.70, 4 Ba 3.52, 5 Co 3.53-3.63
Co 0.0000 0.0000 0.7039  4 Sb 2.65
Sb 0.0000 0.0000 0.2769  4 Co 2.65

***

No. 22
# BaCo4Sb12

A relaxed structure of BaCo4Sb12 (GGA-PBE, Alexandria).

Computed properties:
**Density**: 7689 kg/m³
**Raw formation energy**: -0.26 eV per atom
**Calculated total energy**: -4.955 eV per atom
**Calculated volume**: 23.302 Å³ per atom

Cell lengths 9.2532, 9.2532, 9.2532 Å; angles 90.00, 90.00, 90.00 degrees
With the nearest neighbours (Å) after each atom.
Space group Im-3 (No. 204)
Asymmetric unit:
Ba 0.0000 0.0000 0.0000  12 Sb 3.49
Co 0.2500 0.2500 0.2500  6 Sb 2.58
Sb 0.0000 0.1636 0.3393  2 Co 2.58